Entry 1:
Entry from Alexandria via LeMat-Bulk: crystalline CdPb8Au2 at its relaxed geometry (PBE-GGA).

Results
The calculation puts the energy above the most stable polymorph in this dataset at 0.042 eV/atom. Its density of states at the Fermi level is 0.461 states/eV/atom. For the energy of formation from the pure elements, the calculation gives 101.9 kJ/mol of formula units. For the calculated volume, the calculation gives 32.33 A^3/atom. The total magnetization comes out at 0.00 μB per cell.

Lattice parameters (Å, degrees): 5.724 8.213 8.213 67.27 87.61 87.61
Positions (direct):
Pb: 0.285 0.793 0.373
Cd: 0.000 0.000 0.000
Pb: 0.285 0.373 0.793
Pb: 0.727 0.224 0.224
Pb: 0.273 0.776 0.776
Pb: 0.794 0.618 0.618
Pb: 0.715 0.207 0.627
Pb: 0.206 0.382 0.382
Au: 0.755 0.830 0.830
Pb: 0.715 0.627 0.207
Au: 0.245 0.170 0.170

Entry 2:
Entry from Alexandria via LeMat-Bulk: crystalline TlCo2Sb at its relaxed geometry (PBE-GGA).

Results
The calculation puts the energy above the most stable polymorph in this dataset at 0.188 eV/atom. Its density of states at the Fermi level is 0.787 states/eV/atom. For the calculated volume, the calculation gives 17.26 A^3/atom. The total magnetization comes out at 0.00 μB per cell. The calculation puts the uncorrected formation energy at 0.4391 eV per atom.

Lattice parameters (Å, degrees): 7.739 7.739 7.739 24.31 24.31 24.31
Positions (direct):
Tl: 0.750 0.750 0.750
Co: 0.506 0.506 0.506
Co: 0.994 0.994 0.994
Sb: 0.250 0.250 0.250

Entry 3:
Entry from Alexandria via LeMat-Bulk: crystalline CrWS2 at its relaxed geometry (PBE-GGA).

Results
The calculation puts the energy above the most stable polymorph in this dataset at 0.125 eV/atom. Its density of states at the Fermi level is 1.017 states/eV/atom. For the calculated volume, the calculation gives 12.76 A^3/atom. The total magnetization comes out at 0.00 μB per cell. The calculation puts the uncorrected formation energy at 0.0502 eV per atom.

Lattice parameters (Å, degrees): 4.164 4.164 4.164 60.00 60.00 60.00
Positions (direct):
S: 0.250 0.250 0.250
Cr: 0.000 0.000 0.000
W: 0.500 0.500 0.500
S: 0.750 0.750 0.750